Material: ScInPd2
Method: DFT, PBE
State: optimized geometry

Properties
formation energy from the elements = -0.76 eV per atom
N(E_F) = 1.11 states/eV/f.u.
calculated total energy = -5.6232 eV/atom
V = 72.12 Å³ per cell
crystal system = tetragonal
total moment = 0.00 μB per formula unit

a b c (Å): 3.3690 3.3690 6.3539
angles (deg): 90.00 90.00 90.00
Last column: nearest neighbours and their distance in Å.
Space group P4/mmm (No. 123)
Symmetry-distinct sites (fractional):
Sc: 0.0000 0.0000 0.0000 [1 per cell]  8 Pd 2.84, 2 In 3.18
In: 0.0000 0.0000 0.5000 [1 per cell]  8 Pd 2.89, 2 Sc 3.18
Pd: 0.5000 0.5000 0.2436 [2 per cell]  4 Sc 2.84, 4 In 2.89, 1 Pd 3.10